{
  "formula": "TlIn6Bi5",
  "functional": "GGA-PBE",
  "state": "relaxed",
  "space_group": "C2/m",
  "e_form_kj_per_mol_atoms": 6,
  "e_tot_ev_per_cell": -37.475,
  "cell": [[6.208, -8.911, 0.000], [6.208, 8.911, 0.000], [-0.904, 0.000, 3.298]],
  "species": ["Tl", "In", "In", "In", "In", "In", "In", "Bi", "Bi", "Bi", "Bi", "Bi"],
  "frac_coords": [[0.000, 0.000, 0.000], [0.082, 0.413, 0.249], [0.256, 0.256, 0.764], [0.413, 0.082, 0.249], [0.587, 0.918, 0.751], [0.744, 0.744, 0.236], [0.918, 0.587, 0.751], [0.170, 0.830, 0.500], [0.334, 0.666, 0.000], [0.500, 0.500, 0.500], [0.666, 0.334, 0.000], [0.830, 0.170, 0.500]]
}